# 1
Computed, not measured: an optimized crystal structure of CrOsPb2 at the GGA-PBE level of DFT.

Computed properties:
Energy above the most stable polymorph in this dataset ... 624.2 meV per atom
Energy of formation from the pure elements ... 1.03 eV per atom
Total DFT energy (no corrections) ... -6.04 eV per atom

a = 3.412 Å, b = 5.508 Å, c = 8.982 Å
α = 90.00°, β = 90.00°, γ = 90.00°
Fractional positions:
Cr  0.000  0.000  0.000
Cr  0.500  0.500  0.000
Os  0.000  0.000  0.500
Os  0.500  0.500  0.500
Pb  0.000  0.500  0.257
Pb  0.000  0.500  0.743
Pb  0.500  0.000  0.257
Pb  0.500  0.000  0.743

# 2
Computed, not measured: an optimized crystal structure of TiCuOs2 at the GGA-PBE level of DFT.

Computed properties:
Energy above the most stable polymorph in this dataset ... 414.1 meV per atom
Energy of formation from the pure elements ... 0.46 eV per atom
Total DFT energy (no corrections) ... -8.15 eV per atom

a = 3.815 Å, b = 3.815 Å, c = 17.628 Å
α = 90.00°, β = 90.00°, γ = 90.00°
Fractional positions:
Ti  0.000  0.000  0.000
Ti  0.000  0.500  0.250
Ti  0.500  0.000  0.750
Ti  0.500  0.500  0.500
Cu  0.000  0.000  0.500
Cu  0.000  0.500  0.750
Cu  0.500  0.000  0.250
Cu  0.500  0.500  0.000
Os  0.198  0.250  0.625
Os  0.250  0.698  0.875
Os  0.250  0.802  0.375
Os  0.302  0.250  0.125
Os  0.698  0.750  0.125
Os  0.750  0.198  0.375
Os  0.750  0.302  0.875
Os  0.802  0.750  0.625

# 3
Computed, not measured: an optimized crystal structure of In5Os at the GGA-PBE level of DFT.

Computed properties:
Energy above the most stable polymorph in this dataset ... 2.5 meV per atom
Energy of formation from the pure elements ... 0.24 eV per atom
Total DFT energy (no corrections) ... -3.91 eV per atom

a = 10.071 Å, b = 3.189 Å, c = 9.415 Å
α = 90.00°, β = 102.28°, γ = 90.00°
Fractional positions:
In  0.000  0.000  0.000
In  0.085  0.500  0.351
In  0.197  0.500  0.822
In  0.294  0.000  0.184
In  0.412  0.500  0.584
In  0.500  0.500  0.000
In  0.585  0.000  0.351
In  0.697  0.000  0.822
In  0.794  0.500  0.184
In  0.912  0.000  0.584
Os  0.187  0.000  0.584
Os  0.687  0.500  0.584